No. 1
Ta3MnSe | GGA-PBE | relaxed

a b c (Å): 4.626 4.626 4.626
angles (deg): 90.00 90.00 90.00
Sites, in units of the cell vectors:
Ta (0.000, 0.000, 0.500)
Ta (0.000, 0.500, 0.000)
Ta (0.500, 0.000, 0.000)
Mn (0.000, 0.000, 0.000)
Se (0.500, 0.500, 0.500)

total DFT energy (no corrections) = -8.82 eV/atom
formation energy (no corrections) = 0.820 eV/atom
energy above the lowest structure with this stoichiometry = 0 meV per atom
Fermi-level density of states = 1.245 states/eV per atom

No. 2
TbPu2Cd6 | GGA-PBE | relaxed

a b c (Å): 6.043 6.043 6.043
angles (deg): 93.96 93.96 93.96
Sites, in units of the cell vectors:
Tb (0.000, 0.000, 0.000)
Pu (0.342, 0.342, 0.342)
Pu (0.658, 0.658, 0.658)
Cd (0.165, 0.500, 0.835)
Cd (0.165, 0.835, 0.500)
Cd (0.500, 0.165, 0.835)
Cd (0.500, 0.835, 0.165)
Cd (0.835, 0.165, 0.500)
Cd (0.835, 0.500, 0.165)

total DFT energy (no corrections) = -4.47 eV/atom
DFT formation energy = -0.1616 eV/atom
Fermi-level density of states = 2.295 states/eV per atom

No. 3
ReIrBr | GGA-PBE | relaxed

a b c (Å): 4.348 4.348 2.944
angles (deg): 90.00 90.00 120.00
Sites, in units of the cell vectors:
Re (0.000, 0.000, 0.000)
Ir (0.333, 0.667, 0.527)
Br (0.667, 0.333, 0.125)

total DFT energy (no corrections) = -6.47 eV/atom
formation energy (no corrections) = 1.187 eV/atom
energy above the lowest structure with this stoichiometry = 514 meV per atom
Fermi-level density of states = 1.068 states/eV per atom